(1)
DFT (PBE) results for a relaxed Be4FeCl crystal.

Cell: 4.4302 4.4302 4.4302 Å, 60.00 60.00 60.00°
Closest atoms and distances in Å follow each position.
Fractional coordinates of all 6 atoms:
Be 0.1218 0.1218 0.1218  6 Be 2.16-2.27
Be 0.1218 0.1218 0.6345  6 Be 2.16-2.27
Be 0.1218 0.6345 0.1218  6 Be 2.16-2.27
Be 0.6345 0.1218 0.1218  6 Be 2.16-2.27
Fe 0.7500 0.7500 0.7500  12 Be 2.59, 4 Cl 2.71
Cl 0.5000 0.5000 0.5000  12 Be 2.60, 4 Fe 2.71

## Properties
- crystal system = cubic

---

(2)
DFT (PBE) results for a relaxed BeFeCl2 crystal.

Cell: 4.7244 4.7527 12.4425 Å, 90.00 90.00 90.00°
Closest atoms and distances in Å follow each position.
Fractional coordinates of all 16 atoms:
Be 0.0000 0.0000 0.0000  4 Cl 2.36-2.38
Be 0.0000 0.5000 0.5000  4 Cl 2.36-2.38
Be 0.5000 0.0000 0.5000  4 Cl 2.36-2.38
Be 0.5000 0.5000 0.0000  4 Cl 2.36-2.38
Fe 0.2500 0.2500 0.2500  4 Cl 2.36-2.38
Fe 0.2500 0.7500 0.7500  4 Cl 2.36-2.38
Fe 0.7500 0.2500 0.7500  4 Cl 2.36-2.38
Fe 0.7500 0.7500 0.2500  4 Cl 2.36-2.38
Cl 0.0000 0.0000 0.5000  4 Be 2.36-2.38
Cl 0.0000 0.5000 0.0000  4 Be 2.36-2.38
Cl 0.2500 0.2500 0.7500  4 Fe 2.36-2.38
Cl 0.2500 0.7500 0.2500  4 Fe 2.36-2.38
Cl 0.5000 0.0000 0.0000  4 Be 2.36-2.38
Cl 0.5000 0.5000 0.5000  4 Be 2.36-2.38
Cl 0.7500 0.2500 0.2500  4 Fe 2.36-2.38
Cl 0.7500 0.7500 0.7500  4 Fe 2.36-2.38

## Properties
- crystal system = orthorhombic
- offset from the most stable computed form (kcal/mol of atoms) = 16.09

---

(3)
DFT (PBE) results for a relaxed Be2FeCl crystal.

Cell: 4.8839 6.9330 2.7291 Å, 90.00 90.00 90.00°
Closest atoms and distances in Å follow each position.
Fractional coordinates of all 8 atoms:
Be 0.2500 0.2500 0.0000  4 Be 2.44-2.73, 4 Cl 2.52, 4 Fe 2.52
Be 0.2500 0.7500 0.0000  4 Be 2.44-2.73, 4 Cl 2.52, 4 Fe 2.52
Be 0.7500 0.2500 0.0000  4 Be 2.44-2.73, 4 Cl 2.52, 4 Fe 2.52
Be 0.7500 0.7500 0.0000  4 Be 2.44-2.73, 4 Cl 2.52, 4 Fe 2.52
Fe 0.0000 0.0000 0.5000  2 Cl 2.44, 8 Be 2.52, 2 Fe 2.73
Fe 0.5000 0.5000 0.5000  2 Cl 2.44, 8 Be 2.52, 2 Fe 2.73
Cl 0.0000 0.5000 0.5000  2 Fe 2.44, 8 Be 2.52, 2 Cl 2.73
Cl 0.5000 0.0000 0.5000  2 Fe 2.44, 8 Be 2.52, 2 Cl 2.73

## Properties
- crystal system = orthorhombic
- offset from the most stable computed form (kcal/mol of atoms) = 8.63

---

(4)
DFT (PBE) results for a relaxed Be2FeCl crystal.

Cell: 3.1922 3.1922 9.7734 Å, 90.00 90.00 90.00°
Closest atoms and distances in Å follow each position.
Fractional coordinates of all 8 atoms:
Be 0.0000 0.0000 0.0000  4 Fe 2.26
Be 0.0000 0.5000 0.2500  4 Cl 2.26
Be 0.5000 0.0000 0.7500  4 Cl 2.26
Be 0.5000 0.5000 0.5000  4 Fe 2.26
Fe 0.0000 0.0000 0.5000  4 Be 2.26
Fe 0.5000 0.5000 0.0000  4 Be 2.26
Cl 0.0000 0.5000 0.7500  4 Be 2.26
Cl 0.5000 0.0000 0.2500  4 Be 2.26

## Properties
- crystal system = tetragonal
- offset from the most stable computed form (kcal/mol of atoms) = 12.06

---

(5)
DFT (PBE) results for a relaxed Be2FeCl crystal.

Cell: 2.8487 3.8137 7.8736 Å, 90.00 90.00 90.00°
Closest atoms and distances in Å follow each position.
Fractional coordinates of all 8 atoms:
Be 0.0000 0.0000 0.2490  4 Be 2.38, 2 Cl 2.42, 2 Fe 2.44
Be 0.0000 0.0000 0.7510  4 Be 2.38, 2 Cl 2.42, 2 Fe 2.44
Be 0.5000 0.5000 0.2510  4 Be 2.38, 2 Cl 2.42, 2 Fe 2.44
Be 0.5000 0.5000 0.7490  4 Be 2.38, 2 Cl 2.42, 2 Fe 2.44
Fe 0.0000 0.5000 0.0000  4 Cl 2.38, 4 Be 2.44
Fe 0.5000 0.0000 0.5000  4 Cl 2.38, 4 Be 2.44
Cl 0.0000 0.5000 0.5000  4 Fe 2.38, 4 Be 2.42
Cl 0.5000 0.0000 0.0000  4 Fe 2.38, 4 Be 2.42

## Properties
- crystal system = orthorhombic
- offset from the most stable computed form (kcal/mol of atoms) = 11.00

---

(6)
DFT (PBE) results for a relaxed Be2FeCl crystal.

Cell: 7.8065 2.8038 5.9142 Å, 90.00 116.77 90.00°
Closest atoms and distances in Å follow each position.
Fractional coordinates of all 8 atoms:
Be 0.2275 0.0000 0.3484  1 Cl 2.03, 2 Be 2.18
Be 0.2725 0.5000 0.6516  1 Cl 2.03, 2 Be 2.18
Be 0.7275 0.5000 0.3484  1 Cl 2.03, 2 Be 2.18
Be 0.7725 0.0000 0.6516  1 Cl 2.03, 2 Be 2.18
Fe 0.0000 0.0000 0.5000  6 Be 2.32-2.36
Fe 0.5000 0.5000 0.5000  6 Be 2.32-2.36
Cl 0.0000 0.0000 0.0000  2 Be 2.03
Cl 0.5000 0.5000 0.0000  2 Be 2.03

## Properties
- crystal system = monoclinic
- offset from the most stable computed form (kcal/mol of atoms) = 3.27

---

(7)
DFT (PBE) results for a relaxed BeFeCl crystal.

Cell: 2.8465 2.8465 11.9436 Å, 90.00 90.00 90.00°
Closest atoms and distances in Å follow each position.
Fractional coordinates of all 6 atoms:
Be 0.0000 0.0000 0.0000  4 Fe 2.38, 4 Cl 2.40
Be 0.5000 0.5000 0.5000  4 Fe 2.38, 4 Cl 2.40
Fe 0.0000 0.0000 0.3939  4 Be 2.38, 1 Cl 2.57
Fe 0.5000 0.5000 0.8939  4 Be 2.38, 1 Cl 2.57
Cl 0.0000 0.0000 0.6091  4 Be 2.40, 1 Fe 2.57
Cl 0.5000 0.5000 0.1091  4 Be 2.40, 1 Fe 2.57

## Properties
- crystal system = tetragonal
- offset from the most stable computed form (kcal/mol of atoms) = 3.27

---

(8)
DFT (PBE) results for a relaxed BeFeCl2 crystal.

Cell: 2.9978 7.9511 8.7180 Å, 90.00 90.00 90.00°
Closest atoms and distances in Å follow each position.
Fractional coordinates of all 8 atoms:
Be 0.0000 0.0000 0.0000  2 Cl 2.00
Be 0.5000 0.5000 0.5000  2 Cl 2.00
Fe 0.0000 0.5000 0.7193  2 Cl 2.28, 2 Be 2.43
Fe 0.5000 0.0000 0.2193  2 Cl 2.28, 2 Be 2.43
Cl 0.0000 0.0000 0.4158  2 Fe 2.28
Cl 0.0000 0.5000 0.3476  2 Be 2.00
Cl 0.5000 0.0000 0.8476  2 Be 2.00
Cl 0.5000 0.5000 0.9158  2 Fe 2.28

## Properties
- crystal system = orthorhombic
- offset from the most stable computed form (kcal/mol of atoms) = 3.93

---

| no. | energy (eV for the cell shown) | formation energy without anion corrections (eV per atom) |
| --- | --- | --- |
| 1 | -22.19 | 0.505 |
| 2 | -57.50 | 0.377 |
| 3 | -31.64 | 0.486 |
| 4 | -30.44 | 0.635 |
| 5 | -30.81 | 0.589 |
| 6 | -33.49 | 0.254 |
| 7 | -25.95 | 0.353 |
| 8 | -32.97 | -0.150 |